The following is a DFT calculation (SCAN) of a crystal of YTaTc2 relaxed with PBEsol.

Properties
The calculation puts the formation energy from the elements at 0.162 eV/atom. The density of states at the Fermi level comes out at 0.869 states/eV/atom. For the density, the calculation gives 11.25 Mg/m³.

Cell lengths 2.9156, 4.5123, 5.3527 Å; angles 90.00, 102.35, 90.00 degrees
With the nearest neighbours (Å) after each atom.
Positions (direct):
Y1 0.0000 0.0000 0.0000  4 Tc 2.72-2.80, 2 Y 2.92, 2 Ta 2.93
Ta1 0.7254 0.5000 0.2845  4 Tc 2.62-2.91, 2 Ta 2.92, 2 Y 2.93
Tc1 0.2447 0.5000 0.7480  2 Ta 2.62-2.91, 4 Tc 2.77-2.92, 2 Y 2.80
Tc2 0.4994 0.0000 0.5081  2 Ta 2.70, 2 Y 2.72-2.80, 4 Tc 2.77-2.92